Y2CdPdC | PBE | relaxed

Properties
Magnetization: 0.00 μB per formula unit
Polymorph energy (0 for the lowest one): 0.0 meV per atom
Crystal system: tetragonal
Fermi-level density of states: 0.7319 states/eV/atom

Unit cell a=4.981 b=4.981 c=4.121 alpha=90.00 beta=90.00 gamma=90.00
Sites, in units of the cell vectors:
Y  0.000  0.500  0.000
Y  0.500  0.000  0.000
Cd  0.000  0.000  0.500
Pd  0.500  0.500  0.500
C  0.500  0.500  0.000